Record 1
Material: CsK2Pd
Method: DFT, GGA-PBE
State: relaxed

Summary:
Formation energy   79 kJ/mol of formula units
Total magnetization   0.00 μB per formula unit
N(E_F)   17.186 states/eV/cell
Excess energy over the best structure of this formula in the dataset   0.090 eV/atom

Cell and atoms, written as CIF:
```
data_CsK2Pd
_chemical_formula_sum 'Cs4 K8 Pd4'
_cell_length_a 8.728
_cell_length_b 8.728
_cell_length_c 8.728
_cell_angle_alpha 90.00
_cell_angle_beta 90.00
_cell_angle_gamma 90.00
_space_group_name_H-M_alt 'F m -3 m'
_space_group_IT_number 225
_space_group_name_Hall '-F 4 2 3'
loop_
_atom_site_label
_atom_site_type_symbol
_atom_site_fract_x
_atom_site_fract_y
_atom_site_fract_z
Cs1 Cs 0.000 0.000 0.000
K1 K 0.250 0.250 0.250
Pd1 Pd 0.000 0.000 0.500
```


Record 2
Material: Cs3K4Pd
Method: DFT, GGA-PBE
State: relaxed

Summary:
Formation energy   46 kJ/mol of formula units
Total magnetization   0.00 μB per formula unit
N(E_F)   12.342 states/eV/cell

Cell and atoms, written as CIF:
```
data_Cs3K4Pd
_chemical_formula_sum 'Cs6 K8 Pd2'
_cell_length_a 8.176
_cell_length_b 15.472
_cell_length_c 9.099
_cell_angle_alpha 90.00
_cell_angle_beta 90.00
_cell_angle_gamma 90.00
_space_group_name_H-M_alt 'P m m n'
_space_group_IT_number 59
loop_
_space_group_symop_operation_xyz
'x,y,z'
'-x,-y,-z'
'-x+1/2,-y+1/2,z'
'x+1/2,y+1/2,-z'
'x+1/2,-y,-z'
'-x+1/2,y,z'
'-x,y+1/2,-z'
'x,-y+1/2,z'
loop_
_atom_site_label
_atom_site_type_symbol
_atom_site_fract_x
_atom_site_fract_y
_atom_site_fract_z
Cs1 Cs 0.250 0.024 0.182
Cs2 Cs 0.250 0.750 0.554
K1 K 0.004 0.250 0.017
K2 K 0.250 0.118 0.606
Pd1 Pd 0.250 0.250 0.308
```